VASP calculation (PBE) on an optimized crystal structure of BePt2W. Values from VASP.

As for the uncorrected energy: -6.99 eV per atom. The calculation puts the total magnetization at 0.0 μB per formula unit. The calculation puts the energy relative to the elements at 19 kJ/mol of atoms.

```
&SYSTEM
  ibrav = 0, nat = 8, ntyp = 3
/
ATOMIC_SPECIES
Be 9.01 Be.upf
W 183.84 W.upf
Pt 195.08 Pt.upf
ATOMIC_POSITIONS crystal
Be 0.500 0.500 0.000
Be 0.250 0.750 0.500
W 0.000 0.000 0.000
W 0.750 0.250 0.500
Pt 0.613 0.125 0.250
Pt 0.137 0.625 0.250
Pt 0.375 0.387 0.750
Pt 0.875 0.863 0.750
CELL_PARAMETERS angstrom
-0.992 2.141 -3.014
1.645 -2.539 -2.345
-7.026 -4.425 -3.261
```